BaAlZn2P | Alexandria | PBE | relaxed; E_form = 0.13 eV per atom; magnetization = 0.00 μB/cell
1.0
4.9877 0.0000 0.0000
0.0000 5.0306 0.0000
0.0000 0.0000 4.9877
P Zn Al Ba
1 2 1 1
Cartesian
0.0000 0.0000 0.0000 P
0.0000 0.0000 2.4938 Zn
2.4938 0.0000 0.0000 Zn
0.0000 2.5153 0.0000 Al
2.4938 2.5153 2.4938 Ba

***

BaPaAl4 | Alexandria | PBE | relaxed; E_form = -0.07 eV per atom; magnetization = 0.20 μB/cell
1.0
5.7338 0.0000 0.0000
2.8669 4.9656 0.0000
2.8669 1.6552 4.6816
Al Pa Ba
4 1 1
Cartesian
4.2822 4.1485 2.9334 Al
5.7338 1.6342 2.9334 Al
5.7338 3.3104 0.5629 Al
7.1854 4.1485 2.9334 Al
0.0000 0.0000 0.0000 Pa
2.8669 1.6552 1.1704 Ba

***

BaPa2AlS8 | Alexandria | PBE | relaxed; formation energy from raw total energies = -1.29 eV/atom; magnetization = 0.00 μB/cell
1.0
6.2385 0.2269 -0.0046
0.3149 6.2534 -0.0074
0.0059 0.0096 8.4359
S Al Ba Pa
8 1 1 2
Cartesian
2.3388 1.9877 4.2141 S
5.1770 1.5302 6.7784 S
1.3822 4.9597 1.6456 S
4.4575 4.5537 -0.0083 S
2.1017 1.9362 8.4322 S
4.2205 4.5022 4.2099 S
1.3857 4.9654 6.7771 S
5.1735 1.5245 1.6468 S
0.0000 0.0000 0.0000 Al
0.0029 0.0048 4.2180 Ba
3.2811 3.2474 6.3809 Pa
3.2781 3.2424 2.0430 Pa